No. 1
## KInBr2 (GGA-PBEsol)

Data for a relaxed KInBr2 crystal.

Properties
Raw formation energy   -4.1 eV per formula unit
Uncorrected energy   -2.99 eV per atom
N(E_F)   0.00 states/eV/cell
Offset from the most stable computed form   0.51 eV per formula unit

abc: 7.0451 7.0451 15.3889
angles: 90.00 90.00 90.00
Space group I-42d (No. 122)
Unique sites:
K (0.0000, 0.0000, 0.0000) (multiplicity 4)
In (0.0000, 0.0000, 0.5000) (multiplicity 4)
Br (0.2436, 0.2500, 0.6250) (multiplicity 8)

No. 2
## KIn2Br (GGA-PBEsol)

Data for a relaxed KIn2Br crystal.

Properties
Raw formation energy   -2.0 eV per formula unit
Uncorrected energy   -2.75 eV per atom
N(E_F)   1.48 states/eV/cell
Offset from the most stable computed form   0.00 eV per formula unit

abc: 4.0910 6.7791 4.6445
angles: 90.00 90.17 90.00
Space group P2/m (No. 10)
Unique sites:
K (0.0000, 0.0000, 0.0000) (multiplicity 1)
In (0.2610, 0.5000, 0.7411) (multiplicity 2)
Br (0.5000, 0.0000, 0.5000) (multiplicity 1)

No. 3
## KInBr2 (GGA-PBEsol)

Data for a relaxed KInBr2 crystal.

Properties
Raw formation energy   -4.6 eV per formula unit
Uncorrected energy   -3.11 eV per atom
N(E_F)   0.00 states/eV/cell
Offset from the most stable computed form   0.04 eV per formula unit

abc: 12.2523 4.2529 4.9041
angles: 90.00 90.01 90.00
Space group Cm (No. 8)
Unique sites:
K (0.0000, 0.0000, 0.0000) (multiplicity 2)
In (0.2710, 0.5000, 0.4995) (multiplicity 2)
Br (0.0351, 0.5000, 0.4999) (multiplicity 2)
Br (0.2679, 0.0000, 0.9986) (multiplicity 2)

No. 4
## KInBr2 (GGA-PBEsol)

Data for a relaxed KInBr2 crystal.

Properties
Raw formation energy   -4.5 eV per formula unit
Uncorrected energy   -3.09 eV per atom
Offset from the most stable computed form   0.10 eV per formula unit

abc: 5.5040 5.5040 3.8861
angles: 90.00 90.00 90.00
Space group P4/mmm (No. 123)
Unique sites:
K (0.0000, 0.0000, 0.0000) (multiplicity 1)
In (0.5000, 0.5000, 0.0000) (multiplicity 1)
Br (0.0000, 0.5000, 0.5000) (multiplicity 2)

No. 5
## KInBr2 (GGA-PBEsol)

Data for a relaxed KInBr2 crystal.

Properties
Raw formation energy   -4.5 eV per formula unit
Uncorrected energy   -3.08 eV per atom
N(E_F)   0.00 states/eV/cell
Offset from the most stable computed form   0.15 eV per formula unit

abc: 7.8061 7.8061 7.8061
angles: 90.00 90.00 90.00
Space group Fm-3m (No. 225)
Unique sites:
K (0.0000, 0.0000, 0.0000) (multiplicity 4)
In (0.0000, 0.0000, 0.5000) (multiplicity 4)
Br (0.2500, 0.2500, 0.2500) (multiplicity 8)

No. 6
## K2NaInBr6 (GGA-PBEsol)

Data for a relaxed K2NaInBr6 crystal.

Properties
Raw formation energy   -12.9 eV per formula unit
Uncorrected energy   -3.08 eV per atom
N(E_F)   0.00 states/eV/cell

abc: 10.9416 10.9416 10.9416
angles: 90.00 90.00 90.00
Space group Fm-3m (No. 225)
Unique sites:
K (0.2500, 0.2500, 0.2500) (multiplicity 8)
Na (0.0000, 0.0000, 0.0000) (multiplicity 4)
In (0.0000, 0.0000, 0.5000) (multiplicity 4)
Br (0.0000, 0.0000, 0.2574) (multiplicity 24)

No. 7
## KRb2InBr6 (GGA-PBEsol)

Data for a relaxed KRb2InBr6 crystal.

Properties
Raw formation energy   -13.5 eV per formula unit
Uncorrected energy   -3.08 eV per atom
N(E_F)   0.00 states/eV/cell

abc: 11.3980 11.3980 11.3980
angles: 90.00 90.00 90.00
Space group Fm-3m (No. 225)
Unique sites:
K (0.0000, 0.0000, 0.0000) (multiplicity 4)
Rb (0.2500, 0.2500, 0.2500) (multiplicity 8)
In (0.0000, 0.0000, 0.5000) (multiplicity 4)
Br (0.0000, 0.0000, 0.2668) (multiplicity 24)

No. 8
## LaInBr (GGA-PBEsol)

Data for a relaxed LaInBr crystal.

Properties
Raw formation energy   -0.5 eV per formula unit
Uncorrected energy   -3.56 eV per atom
N(E_F)   16.42 states/eV/cell

abc: 7.3837 7.3837 7.3837
angles: 90.00 90.00 90.00
Space group F-43m (No. 216)
Unique sites:
La (0.0000, 0.0000, 0.0000) (multiplicity 4)
In (0.2500, 0.2500, 0.7500) (multiplicity 4)
Br (0.0000, 0.0000, 0.5000) (multiplicity 4)

No. 9
## LaInBr4 (GGA-PBEsol)

Data for a relaxed LaInBr4 crystal.

Properties
Raw formation energy   -2.1 eV per formula unit
Uncorrected energy   -2.99 eV per atom
N(E_F)   31.18 states/eV/cell

abc: 8.7922 8.7922 8.7922
angles: 90.00 90.00 90.00
Space group F-43m (No. 216)
Unique sites:
La (0.0000, 0.0000, 0.0000) (multiplicity 4)
In (0.2500, 0.2500, 0.2500) (multiplicity 4)
Br (0.1253, 0.1253, 0.6253) (multiplicity 16)

No. 10
## La5In3Br (GGA-PBEsol)

Data for a relaxed La5In3Br crystal.

Properties
Raw formation energy   -6.3 eV per formula unit
Uncorrected energy   -4.87 eV per atom
N(E_F)   23.33 states/eV/cell

abc: 9.6649 9.6649 6.7075
angles: 90.00 90.00 120.00
Space group P6_3/mcm (No. 193)
Unique sites:
La (0.0000, 0.2658, 0.2500) (multiplicity 6)
La (0.3333, 0.6667, 0.0000) (multiplicity 4)
In (0.0000, 0.3889, 0.7500) (multiplicity 6)
Br (0.0000, 0.0000, 0.0000) (multiplicity 2)

No. 11
## LaInSeBr2 (GGA-PBEsol)

Data for a relaxed LaInSeBr2 crystal.

Properties
Raw formation energy   -5.9 eV per formula unit
Uncorrected energy   -4.37 eV per atom

abc: 5.7758 5.7758 5.6910
angles: 90.00 90.00 90.00
Space group P4/mmm (No. 123)
Unique sites:
La (0.0000, 0.0000, 0.0000) (multiplicity 1)
In (0.5000, 0.5000, 0.5000) (multiplicity 1)
Se (0.0000, 0.0000, 0.5000) (multiplicity 1)
Br (0.0000, 0.5000, 0.0000) (multiplicity 2)

No. 12
## LiIn2Br (GGA-PBEsol)

Data for a relaxed LiIn2Br crystal.

Properties
Raw formation energy   -1.6 eV per formula unit
Uncorrected energy   -2.86 eV per atom
N(E_F)   2.65 states/eV/cell

abc: 4.1081 4.1823 12.0235
angles: 90.00 90.00 90.00
Space group Immm (No. 71)
Unique sites:
Li (0.0000, 0.0000, 0.0000) (multiplicity 2)
In (0.0000, 0.5000, 0.2475) (multiplicity 4)
Br (0.0000, 0.0000, 0.5000) (multiplicity 2)

No. 13
## LiIn4Br (GGA-PBEsol)

Data for a relaxed LiIn4Br crystal.

Properties
Raw formation energy   -0.4 eV per formula unit
Uncorrected energy   -2.70 eV per atom
N(E_F)   15.15 states/eV/cell

abc: 8.6732 8.6732 8.6732
angles: 90.00 90.00 90.00
Space group F-43m (No. 216)
Unique sites:
Li (0.0000, 0.0000, 0.0000) (multiplicity 4)
In (0.1254, 0.1254, 0.3746) (multiplicity 16)
Br (0.2500, 0.2500, 0.7500) (multiplicity 4)

No. 14
## Mg2InBr (GGA-PBEsol)

Data for a relaxed Mg2InBr crystal.

Properties
Raw formation energy   -1.2 eV per formula unit
Uncorrected energy   -2.38 eV per atom
N(E_F)   1.37 states/eV/cell
Offset from the most stable computed form   0.20 eV per formula unit

abc: 5.3706 5.3706 3.2692
angles: 90.00 90.00 90.00
Space group P4/mmm (No. 123)
Unique sites:
Mg (0.0000, 0.5000, 0.0000) (multiplicity 2)
In (0.0000, 0.0000, 0.5000) (multiplicity 1)
Br (0.5000, 0.5000, 0.5000) (multiplicity 1)

No. 15
## MgIn2Br (GGA-PBEsol)

Data for a relaxed MgIn2Br crystal.

Properties
Raw formation energy   -0.8 eV per formula unit
Uncorrected energy   -2.60 eV per atom
N(E_F)   1.26 states/eV/cell

abc: 3.3878 5.2198 5.8127
angles: 90.00 90.42 90.00
Space group P2/m (No. 10)
Unique sites:
Mg (0.0000, 0.0000, 0.0000) (multiplicity 1)
In (0.4315, 0.5000, 0.2479) (multiplicity 2)
Br (0.0000, 0.0000, 0.5000) (multiplicity 1)

No. 16
## MgInBr2 (GGA-PBEsol)

Data for a relaxed MgInBr2 crystal.

Properties
Raw formation energy   -2.5 eV per formula unit
Uncorrected energy   -2.74 eV per atom
N(E_F)   1.09 states/eV/cell
Offset from the most stable computed form   0.35 eV per formula unit

abc: 3.4768 3.4768 8.4215
angles: 90.00 90.00 90.00
Space group P4mm (No. 99)
Unique sites:
Mg (0.0000, 0.0000, 0.0000) (multiplicity 1)
In (0.5000, 0.5000, 0.7341) (multiplicity 1)
Br (0.0000, 0.0000, 0.5186) (multiplicity 1)
Br (0.5000, 0.5000, 0.1632) (multiplicity 1)

No. 17
## Mg2InBr (GGA-PBEsol)

Data for a relaxed Mg2InBr crystal.

Properties
Raw formation energy   -0.4 eV per formula unit
Uncorrected energy   -2.18 eV per atom
N(E_F)   4.81 states/eV/cell
Offset from the most stable computed form   0.98 eV per formula unit

abc: 4.7093 4.7093 8.9674
angles: 90.00 90.00 90.00
Space group I4/mmm (No. 139)
Unique sites:
Mg (0.0000, 0.5000, 0.2500) (multiplicity 4)
In (0.0000, 0.0000, 0.0000) (multiplicity 2)
Br (0.0000, 0.0000, 0.5000) (multiplicity 2)

No. 18
## MgInBr2 (GGA-PBEsol)

Data for a relaxed MgInBr2 crystal.

Properties
Raw formation energy   -2.9 eV per formula unit
Uncorrected energy   -2.83 eV per atom
N(E_F)   1.80 states/eV/cell
Offset from the most stable computed form   0.00 eV per formula unit

abc: 3.6901 6.2922 9.8770
angles: 90.00 90.00 90.00
Space group Cmmm (No. 65)
Unique sites:
Mg (0.0000, 0.0000, 0.0000) (multiplicity 2)
In (0.0000, 0.0000, 0.5000) (multiplicity 2)
Br (0.0000, 0.5000, 0.1806) (multiplicity 4)

No. 19
## MgInBr3 (GGA-PBEsol)

Data for a relaxed MgInBr3 crystal.

Properties
Raw formation energy   -5.3 eV per formula unit
Uncorrected energy   -3.11 eV per atom
N(E_F)   0.00 states/eV/cell

abc: 5.2238 5.2238 5.2238
angles: 90.00 90.00 90.00
Space group Pm-3m (No. 221)
Unique sites:
Mg (0.0000, 0.0000, 0.0000) (multiplicity 1)
In (0.5000, 0.5000, 0.5000) (multiplicity 1)
Br (0.0000, 0.0000, 0.5000) (multiplicity 3)

No. 20
## Mg2InBr (GGA-PBEsol)

Data for a relaxed Mg2InBr crystal.

Properties
Raw formation energy   -1.4 eV per formula unit
Uncorrected energy   -2.43 eV per atom
N(E_F)   1.62 states/eV/cell
Offset from the most stable computed form   0.00 eV per formula unit

abc: 3.3851 3.4305 7.9697
angles: 90.00 90.00 90.00
Space group Pmmm (No. 47)
Unique sites:
Mg (0.0000, 0.0000, 0.2425) (multiplicity 2)
In (0.5000, 0.5000, 0.0000) (multiplicity 1)
Br (0.5000, 0.5000, 0.5000) (multiplicity 1)

no.,total moment (μB per cell)
1,0.00
2,0.00
3,0.00
4,0.00
5,0.00
6,0.00
7,0.00
8,0.01
9,0.00
10,0.00
11,0.00
12,0.00
13,0.00
14,0.00
15,0.00
16,0.00
17,0.00
18,0.00
19,0.00
20,0.00